Material: Rb2NbTeI6
Method: DFT, GGA-PBE
State: relaxed

**Total magnetization**: 1.0 μB per formula unit
**D(E_F)**: 7.9 states/eV/f.u.
**Energy relative to the elements, uncorrected**: -0.579 eV per atom
**Space group**: I4/mmm

abc: 8.732 8.732 8.732
angles: 115.88 115.88 97.31
Positions (direct):
1 Rb 0.250 0.750 0.500
2 Rb 0.750 0.250 0.500
3 Nb 0.000 0.000 0.000
4 Te 0.500 0.500 0.000
5 I 0.217 0.217 0.433
6 I 0.217 0.783 0.000
7 I 0.246 0.246 0.000
8 I 0.754 0.754 0.000
9 I 0.783 0.217 0.000
10 I 0.783 0.783 0.567